VASP calculation (PBE) on an optimized crystal structure of IrRh2Cl.

- ΔE_f (raw) (meV per atom) = 274
- energy above the most stable polymorph in this dataset (meV/atom) = 0.0

Cell: 8.5593 8.5593 8.5593 Å, 19.19 19.19 19.19°
Atoms (fractional coordinates):
Rh (0.9992, 0.9992, 0.9992)
Cl (0.2500, 0.2500, 0.2500)
Rh (0.5008, 0.5008, 0.5008)
Ir (0.7500, 0.7500, 0.7500)


VASP calculation (PBE) on an optimized crystal structure of CeThSe2O.

- ΔE_f (raw) (meV per atom) = -2300

Cell: 4.0964 4.0964 13.9908 Å, 90.00 90.00 90.00°
Atoms (fractional coordinates):
O (0.0000, 0.0000, 0.5000)
Ce (0.0000, 0.5000, 0.4147)
Se (0.5000, 0.0000, 0.3094)
Se (0.0000, 0.5000, 0.6906)
Se (0.5000, 0.0000, 0.8788)
Th (0.0000, 0.5000, 0.8976)
O (0.5000, 0.5000, 0.5000)
Se (0.0000, 0.5000, 0.1212)
Ce (0.5000, 0.0000, 0.5853)
Th (0.5000, 0.0000, 0.1024)


VASP calculation (PBE) on an optimized crystal structure of BaCa2Ag2.

- energy of formation (eV per atom) = -0.102
- energy above the most stable polymorph in this dataset (meV/atom) = 121.1

Cell: 5.5865 5.5865 7.0407 Å, 66.63 66.63 90.00°
Atoms (fractional coordinates):
Ba (0.0000, 0.0000, 0.0000)
Ca (0.3439, 0.3439, 0.3122)
Ag (0.2500, 0.7500, 0.5000)
Ag (0.7500, 0.2500, 0.5000)
Ca (0.6561, 0.6561, 0.6878)


VASP calculation (PBE) on an optimized crystal structure of Pm5PrZn6.

- energy of formation (eV per atom) = -0.313

Cell: 5.1775 7.3463 8.2105 Å, 90.00 71.41 89.99°
Atoms (fractional coordinates):
Pm (0.6671, 0.0000, 0.6658)
Pm (0.3340, 0.5000, 0.3321)
Zn (0.5000, 0.2529, 0.0000)
Zn (0.1681, 0.7480, 0.6637)
Pm (0.0000, 0.5000, 0.0000)
Pm (0.3329, 0.0000, 0.3342)
Zn (0.8319, 0.2520, 0.3363)
Zn (0.5000, 0.7471, 0.0000)
Zn (0.1681, 0.2520, 0.6637)
Pm (0.6660, 0.5000, 0.6679)
Pr (0.0000, 0.0000, 0.0000)
Zn (0.8319, 0.7480, 0.3363)


VASP calculation (PBE) on an optimized crystal structure of TbTmSb2.

- ΔE_f (raw) (meV per atom) = -1107
- energy above the most stable polymorph in this dataset (meV/atom) = 0.0

Cell: 4.3714 4.3714 7.5644 Å, 89.96 106.82 120.03°
Atoms (fractional coordinates):
Tb (0.0000, 0.5000, 0.5000)
Tm (0.0000, 0.0000, 0.0000)
Sb (0.4969, 0.7485, 0.2453)
Sb (0.5031, 0.2516, 0.7547)


VASP calculation (PBE) on an optimized crystal structure of TlHgNF2.

- ΔE_f (raw) (meV per atom) = -161
- energy above the most stable polymorph in this dataset (meV/atom) = 117.8

Cell: 4.5702 4.5702 4.4457 Å, 90.00 90.00 90.00°
Atoms (fractional coordinates):
F (0.5000, 0.0000, 0.0000)
Tl (0.0000, 0.0000, 0.0000)
F (0.0000, 0.5000, 0.0000)
Hg (0.5000, 0.5000, 0.5000)
N (0.0000, 0.0000, 0.5000)


VASP calculation (PBE) on an optimized crystal structure of LiLuSiHg.

- ΔE_f (raw) (meV per atom) = -375

Cell: 4.8317 4.8317 4.8317 Å, 60.00 60.00 60.00°
Atoms (fractional coordinates):
Lu (0.0000, 0.0000, 0.0000)
Si (0.7500, 0.7500, 0.7500)
Li (0.5000, 0.5000, 0.5000)
Hg (0.2500, 0.2500, 0.2500)


VASP calculation (PBE) on an optimized crystal structure of KVCuCl6.

- ΔE_f (raw) (meV per atom) = -1162

Cell: 6.3454 6.3473 6.9588 Å, 90.06 89.97 59.92°
Atoms (fractional coordinates):
V (0.3336, 0.3335, 0.5000)
Cl (0.6231, 0.3617, 0.6934)
Cl (0.3622, 0.0143, 0.6929)
K (0.0003, 0.0001, 0.0000)
Cl (0.6232, 0.0148, 0.3061)
Cu (0.6667, 0.6667, 0.5000)
Cl (0.3617, 0.6232, 0.3068)
Cl (0.0142, 0.3623, 0.3069)
Cl (0.0146, 0.6233, 0.6938)